# ZrAl2TlFe

Crystalline ZrAl2TlFe at its relaxed geometry (PBE, Alexandria via LeMat-Bulk).

Energy, eV/atom: -5.0664
ΔE_f, meV per atom: 306
N(E_F), states/eV/cell: 3.13

Cell: 4.4770 4.4770 4.9302 Å, 90.00 90.00 90.00°
Closest atoms and distances in Å follow each position.
Space group P4/mmm (No. 123)
Asymmetric unit:
Zr 0.0000 0.0000 0.0000 (multiplicity 1)  4 Tl 3.17, 8 Al 3.33
Al 0.0000 0.5000 0.5000 (multiplicity 2)  2 Fe 2.24
Tl 0.5000 0.5000 0.0000 (multiplicity 1)  2 Fe 2.47
Fe 0.5000 0.5000 0.5000 (multiplicity 1)  4 Al 2.24, 2 Tl 2.47